[1]
Computed, not measured: an optimized crystal structure of KZn2 at the PBE-GGA level of DFT.

Cell lengths 5.6093, 5.6093, 6.4530 Å; angles 90.00, 90.00, 120.00 degrees
Space group P6_3/mmc (No. 194)
One atom of each set of equivalent atoms:
1 K 0.3333 0.6667 0.2500
2 Zn 0.0000 0.0000 0.0000
3 Zn 0.3333 0.6667 0.7500

Values from the calculation:
Raw total energy in eV for the cell shown: -5.444
Energy relative to the elements in eV/atom: 0.31
Size of the total moment in μB per atom: 0.000

***

[2]
Computed, not measured: an optimized crystal structure of KZn5 at the PBE-GGA level of DFT.

Cell lengths 3.429, 3.429, 10.495 Å; angles 90.00, 90.00, 90.00 degrees
Space group P4/mmm (No. 123)
One atom of each set of equivalent atoms:
1 K 0.000 0.000 0.000
2 Zn 0.000 0.000 0.367
3 Zn 0.500 0.500 0.245
4 Zn 0.500 0.500 0.500

Values from the calculation:
Raw total energy in eV for the cell shown: -6.722
Excess energy over the best structure of this formula in the dataset in meV per atom: 97.7
Energy relative to the elements in eV/atom: 0.12
Size of the total moment in μB per atom: 0.000

***

[3]
Computed, not measured: an optimized crystal structure of KZn at the PBE-GGA level of DFT.

Cell lengths 10.101, 10.101, 10.101 Å; angles 90.00, 90.00, 90.00 degrees
Space group I-43m (No. 217)
One atom of each set of equivalent atoms:
1 K 0.213 0.213 0.213
2 Zn 0.093 0.093 0.907

Values from the calculation:
Raw total energy in eV for the cell shown: -14.356
Energy relative to the elements in eV/atom: 0.29
Size of the total moment in μB per atom: 0.000